[1]
Here is a geometry-optimized NaAlSCl2 structure from Alexandria via LeMat-Bulk. Energies are from PBE.

a b c (Å): 4.9315 4.9315 4.5259
angles (deg): 90.00 90.00 90.00
With the nearest neighbours (Å) after each atom.
Space group P4/mmm (No. 123)
Inequivalent atoms, fractional coordinates:
Na  0.0000  0.0000  0.0000 [1 per cell]  8 Cl 3.35, 4 S 3.49
Al  0.5000  0.5000  0.5000 [1 per cell]  2 S 2.26, 4 Cl 2.47
S  0.5000  0.5000  0.0000 [1 per cell]  2 Al 2.26
Cl  0.0000  0.5000  0.5000 [2 per cell]  2 Al 2.47

Fermi-level density of states: 0.0532 states/eV per atom
Density: 2.31 g/cm3
Energy above the most stable polymorph in this dataset: 0 meV per atom
Uncorrected formation energy: -1123.0 meV/atom
Size of the total moment: 0.000 Bohr magnetons per cell

***

[2]
Here is a geometry-optimized NaAl2SCl structure from Alexandria via LeMat-Bulk. Energies are from PBE.

a b c (Å): 5.6036 5.6036 4.6093
angles (deg): 90.00 90.00 90.00
With the nearest neighbours (Å) after each atom.
Space group P4/mmm (No. 123)
Inequivalent atoms, fractional coordinates:
Na  0.0000  0.0000  0.0000 [1 per cell]  2 Cl 2.30
Al  0.0000  0.5000  0.0000 [2 per cell]  2 Na 2.80
S  0.5000  0.5000  0.5000 [1 per cell]  8 Al 3.63, 4 Cl 3.96
Cl  0.0000  0.0000  0.5000 [1 per cell]  2 Na 2.30

Fermi-level density of states: 0.2526 states/eV per atom
Density: 1.66 g/cm3
Uncorrected formation energy: 488.9 meV/atom
Size of the total moment: 0.000 Bohr magnetons per cell

***

[3]
Here is a geometry-optimized NaAlSCl2 structure from Alexandria via LeMat-Bulk. Energies are from PBE.

a b c (Å): 5.1630 5.1630 5.2263
angles (deg): 90.00 90.00 90.00
With the nearest neighbours (Å) after each atom.
Space group P4/mmm (No. 123)
Inequivalent atoms, fractional coordinates:
Na  0.0000  0.0000  0.0000 [1 per cell]  4 Cl 2.58, 2 S 2.61
Al  0.5000  0.5000  0.5000 [1 per cell]  4 S 3.65, 8 Cl 3.67
S  0.0000  0.0000  0.5000 [1 per cell]  2 Na 2.61
Cl  0.0000  0.5000  0.0000 [2 per cell]  2 Na 2.58

Fermi-level density of states: 0.8402 states/eV per atom
Density: 1.82 g/cm3
Energy above the most stable polymorph in this dataset: 1070 meV per atom
Uncorrected formation energy: -53.2 meV/atom
Size of the total moment: 2.012 Bohr magnetons per cell

***

[4]
Here is a geometry-optimized NaAlS2Cl structure from Alexandria via LeMat-Bulk. Energies are from PBE.

a b c (Å): 5.1871 5.1871 5.0527
angles (deg): 90.00 90.00 90.00
With the nearest neighbours (Å) after each atom.
Space group P4/mmm (No. 123)
Inequivalent atoms, fractional coordinates:
Na  0.0000  0.0000  0.0000 [1 per cell]  2 Cl 2.53, 4 S 2.59
Al  0.5000  0.5000  0.5000 [1 per cell]  8 S 3.62, 4 Cl 3.67
S  0.0000  0.5000  0.0000 [2 per cell]  2 Na 2.59
Cl  0.0000  0.0000  0.5000 [1 per cell]  2 Na 2.53

Fermi-level density of states: 0.8560 states/eV per atom
Density: 1.83 g/cm3
Energy above the most stable polymorph in this dataset: 1210 meV per atom
Uncorrected formation energy: 408.6 meV/atom
Size of the total moment: 3.010 Bohr magnetons per cell